(1)
BaB4O7 after structural relaxation, computed with PBE.

abc: 8.402 10.739 13.154
angles: 104.81 90.00 90.00
Sites, in units of the cell vectors:
1 Ba 0.385 0.891 0.295
2 Ba 0.885 0.109 0.205
3 Ba 0.615 0.109 0.705
4 Ba 0.115 0.891 0.795
5 Ba 0.764 0.542 0.394
6 Ba 0.264 0.458 0.106
7 Ba 0.236 0.458 0.606
8 Ba 0.736 0.542 0.894
9 B 0.280 0.988 0.551
10 B 0.910 0.861 0.493
11 B 0.410 0.139 0.007
12 B 0.090 0.139 0.507
13 B 0.590 0.861 0.993
14 B 0.179 0.600 0.393
15 B 0.679 0.400 0.107
16 B 0.821 0.400 0.607
17 B 0.321 0.600 0.893
18 B 0.780 0.012 0.949
19 B 0.720 0.012 0.449
20 B 0.220 0.988 0.051
21 B 0.695 0.819 0.806
22 B 0.195 0.181 0.694
23 B 0.305 0.181 0.194
24 B 0.805 0.819 0.306
25 B 0.364 0.752 0.516
26 B 0.864 0.248 0.984
27 B 0.636 0.248 0.484
28 B 0.136 0.752 0.016
29 B 0.619 0.726 0.619
30 B 0.119 0.274 0.881
31 B 0.381 0.274 0.381
32 B 0.881 0.726 0.119
33 B 0.863 0.635 0.687
34 B 0.363 0.365 0.813
35 B 0.137 0.365 0.313
36 B 0.637 0.635 0.187
37 B 0.085 0.710 0.572
38 B 0.585 0.290 0.928
39 B 0.915 0.290 0.428
40 B 0.415 0.710 0.072
41 O 0.749 0.644 0.604
42 O 0.190 0.679 0.907
43 O 0.690 0.321 0.593
44 O 0.810 0.321 0.093
45 O 0.310 0.679 0.407
46 O 0.588 0.794 0.889
47 O 0.088 0.206 0.611
48 O 0.412 0.206 0.111
49 O 0.253 0.738 0.597
50 O 0.753 0.262 0.903
51 O 0.747 0.262 0.403
52 O 0.247 0.738 0.097
53 O 0.383 0.890 0.511
54 O 0.883 0.110 0.989
55 O 0.617 0.110 0.489
56 O 0.117 0.890 0.011
57 O 0.521 0.701 0.533
58 O 0.021 0.299 0.967
59 O 0.479 0.299 0.467
60 O 0.979 0.701 0.033
61 O 0.599 0.821 0.711
62 O 0.099 0.179 0.789
63 O 0.401 0.179 0.289
64 O 0.901 0.821 0.211
65 O 0.771 0.951 0.844
66 O 0.271 0.049 0.656
67 O 0.229 0.049 0.156
68 O 0.729 0.951 0.344
69 O 0.349 0.503 0.802
70 O 0.849 0.497 0.698
71 O 0.651 0.497 0.198
72 O 0.151 0.503 0.302
73 O 0.912 0.794 0.389
74 O 0.249 0.356 0.896
75 O 0.251 0.356 0.396
76 O 0.751 0.644 0.104
77 O 0.807 0.968 0.524
78 O 0.307 0.032 0.976
79 O 0.193 0.032 0.476
80 O 0.693 0.968 0.024
81 O 0.473 0.661 0.160
82 O 0.497 0.169 0.929
83 O 0.003 0.169 0.429
84 O 0.503 0.831 0.071
85 O 0.821 0.724 0.788
86 O 0.321 0.276 0.712
87 O 0.179 0.276 0.212
88 O 0.679 0.724 0.288
89 O 0.432 0.611 0.973
90 O 0.932 0.389 0.527
91 O 0.568 0.389 0.027
92 O 0.068 0.611 0.473
93 O 0.027 0.661 0.660
94 O 0.527 0.339 0.840
95 O 0.973 0.339 0.340
96 O 0.997 0.831 0.571

Values from the calculation:
Formation energy without anion corrections   -2.615 eV per atom
D(E_F)   0.0 states/eV/cell
Calculated volume   1147.3 Å³/cell
Total energy   -757.72 eV/cell
M_tot   0.00 μB per cell
Symmetry   P2_1/c (14)
Offset from the most stable computed form   0 meV per atom
Mass density   3.4 g/cm³

(2)
Ba2BOsO after structural relaxation, computed with PBE.

abc: 5.782 3.256 5.782
angles: 90.00 90.00 90.00
Site moments in Bohr magnetons follow the coordinates.
Sites, in units of the cell vectors:
1 B 0.000 0.500 0.000  0.03
2 Os 0.500 0.500 0.500  1.01
3 Ba 0.000 0.000 0.500  -0.02
4 Ba 0.500 0.000 0.000  -0.02
5 O 0.000 0.000 0.000  -0.01

Values from the calculation:
Formation energy without anion corrections   0.311 eV per atom
D(E_F)   4.0 states/eV/cell
Calculated volume   108.9 Å³/cell
Total energy   -25.16 eV/cell
M_tot   1.07 μB per cell
Symmetry   P4/mmm (123)
Mass density   7.5 g/cm³

(3)
BaBOsO6 after structural relaxation, computed with PBE.

abc: 5.461 5.416 5.425
angles: 95.29 95.61 60.11
Site moments in Bohr magnetons follow the coordinates.
Sites, in units of the cell vectors:
1 Ba 0.070 0.971 0.048  0.01
2 B 0.842 0.710 0.412  0.01
3 Os 0.334 0.316 0.537  0.56
4 O 0.985 0.490 0.242  0.01
5 O 0.181 0.096 0.573  -0.01
6 O 0.538 0.275 0.826  0.30
7 O 0.984 0.666 0.651  0.01
8 O 0.441 0.509 0.373  -0.02
9 O 0.624 0.967 0.339  0.02

Values from the calculation:
Formation energy without anion corrections   -1.809 eV per atom
Calculated volume   138.3 Å³/cell
Total energy   -65.86 eV/cell
M_tot   1.00 μB per cell
Symmetry   P1 (1)
Mass density   5.2 g/cm³

(4)
Ba2BOsO6 after structural relaxation, computed with PBE.

abc: 5.662 5.662 6.405
angles: 55.57 55.57 73.78
Site moments in Bohr magnetons follow the coordinates.
Sites, in units of the cell vectors:
1 Ba 0.750 0.250 0.500  0.02
2 Ba 0.250 0.750 0.500  0.02
3 B 0.500 0.500 0.000  0.00
4 Os 0.000 0.000 0.000  1.71
5 O 0.216 0.216 0.568  0.21
6 O 0.784 0.784 0.000  0.21
7 O 0.311 0.689 0.000  0.01
8 O 0.689 0.311 0.000  0.01
9 O 0.216 0.216 0.000  0.21
10 O 0.784 0.784 0.432  0.21

Values from the calculation:
Formation energy without anion corrections   -1.848 eV per atom
D(E_F)   2.2 states/eV/cell
Calculated volume   139.5 Å³/cell
Total energy   -69.98 eV/cell
M_tot   2.92 μB per cell
Symmetry   I4/mmm (139)
Mass density   6.8 g/cm³

(5)
BaBP2O after structural relaxation, computed with PBE.

abc: 3.860 3.860 6.634
angles: 90.00 90.00 90.00
Site moments in Bohr magnetons follow the coordinates.
Sites, in units of the cell vectors:
1 P 0.000 0.500 0.000  0.02
2 P 0.500 0.000 0.000  0.02
3 B 0.000 0.000 0.000  -0.01
4 Ba 0.500 0.500 0.500  0.00
5 O 0.000 0.000 0.500  0.26

Values from the calculation:
Formation energy without anion corrections   -0.152 eV per atom
D(E_F)   4.9 states/eV/cell
Calculated volume   98.8 Å³/cell
Total energy   -25.14 eV/cell
M_tot   0.41 μB per cell
Symmetry   P4/mmm (123)
Offset from the most stable computed form   0 meV per atom
Mass density   3.8 g/cm³

(6)
BaBP2O after structural relaxation, computed with PBE.

abc: 6.364 6.364 4.542
angles: 90.00 90.00 90.00
Site moments in Bohr magnetons follow the coordinates.
Sites, in units of the cell vectors:
1 P 0.000 0.500 0.000  0.92
2 P 0.500 0.000 0.000  0.92
3 B 0.500 0.500 0.500  -0.11
4 Ba 0.000 0.000 0.000  0.11
5 O 0.000 0.000 0.500  0.24

Values from the calculation:
Formation energy without anion corrections   1.722 eV per atom
D(E_F)   4.6 states/eV/cell
Calculated volume   184.0 Å³/cell
Total energy   -15.77 eV/cell
M_tot   4.50 μB per cell
Symmetry   P4/mmm (123)
Offset from the most stable computed form   1874 meV per atom
Mass density   2.0 g/cm³